No. 1
The following is a PBE calculation of an optimized crystal structure of HoBC, from Alexandria.

Output
- symmetry = No. 107
- relative energy among the computed polymorphs (eV/atom) = 0.498
- ΔE_f (eV per atom) = 0.04

Cell: 4.166 4.166 4.166 Å, 126.79 126.79 78.59°
Sites, in units of the cell vectors:
Ho (0.000, 0.000, 0.000)
B (0.598, 0.598, 0.000)
C (0.381, 0.381, 0.000)



No. 2
The following is a PBE calculation of an optimized crystal structure of CuRhSe, from Alexandria.

Output
- symmetry = No. 1
- relative energy among the computed polymorphs (eV/atom) = 0.142
- energy relative to the elements, uncorrected (meV/atom) = 133

Cell: 3.014 4.470 4.752 Å, 75.86 72.09 70.66°
Sites, in units of the cell vectors:
Cu (0.000, 0.000, 0.000)
Rh (0.632, 0.181, 0.544)
Se (0.957, 0.629, 0.453)



No. 3
The following is a PBE calculation of an optimized crystal structure of ZnAgN3, from Alexandria.

Output
- symmetry = No. 221
- energy relative to the elements, uncorrected (meV/atom) = 2150

Cell: 3.918 3.918 3.918 Å, 90.00 90.00 90.00°
Sites, in units of the cell vectors:
Zn (0.000, 0.000, 0.000)
Ag (0.500, 0.500, 0.500)
N (0.000, 0.000, 0.500)
N (0.000, 0.500, 0.000)
N (0.500, 0.000, 0.000)



No. 4
The following is a PBE calculation of an optimized crystal structure of Na3ReP, from Alexandria.

Output
- symmetry = No. 221
- relative energy among the computed polymorphs (eV/atom) = 0.000
- ΔE_f (eV per atom) = 1.17

Cell: 5.393 5.393 5.393 Å, 90.00 90.00 90.00°
Sites, in units of the cell vectors:
Na (0.000, 0.000, 0.500)
Na (0.000, 0.500, 0.000)
Na (0.500, 0.000, 0.000)
Re (0.500, 0.500, 0.500)
P (0.000, 0.000, 0.000)



no.,calculated volume (Å³ per atom)
1,14.97
2,18.92
3,12.03
4,31.36